Entry from Alexandria: a relaxed K2Li2Os crystal (PBEsol).

Computed properties:
Energy of formation ... 1.16 eV/atom
Electronic total energy ... -2.527 eV/atom

Cell: 3.2897 3.2897 11.8178 Å, 98.00 98.00 90.00°
Site moments in Bohr magnetons follow the coordinates.
Sites, in units of the cell vectors:
K (0.6017, 0.6017, 0.2034)  0.00
K (0.3983, 0.3983, 0.7966)  0.00
Li (0.2500, 0.7500, 0.5000)  0.00
Li (0.7500, 0.2500, 0.5000)  0.00
Os (0.0000, 0.0000, 0.0000)  1.51

---

Entry from Alexandria: a relaxed LaMnIr3 crystal (PBEsol).

Computed properties:
Energy of formation ... 2.18 eV/atom
Electronic total energy ... -6.739 eV/atom

Cell: 4.8498 4.8498 4.8498 Å, 90.00 90.00 90.00°
Site moments in Bohr magnetons follow the coordinates.
Sites, in units of the cell vectors:
Ir (0.0000, 0.5000, 0.0000)  0.10
Ir (0.0000, 0.0000, 0.5000)  0.10
Ir (0.5000, 0.0000, 0.0000)  0.10
Mn (0.5000, 0.5000, 0.5000)  4.38
La (0.0000, 0.0000, 0.0000)  0.01

---

Entry from Alexandria: a relaxed NiPb2Se crystal (PBEsol).

Computed properties:
E_form (uncorrected) ... 0.18 eV/atom
Electronic total energy ... -4.318 eV/atom

Cell: 3.4944 5.0184 5.0143 Å, 90.00 90.00 90.00°
Sites, in units of the cell vectors:
Ni (0.5000, 0.0000, 0.5000)
Pb (0.0000, 0.0000, 0.0000)
Pb (0.0000, 0.5000, 0.5000)
Se (0.5000, 0.5000, 0.0000)

---

Entry from Alexandria: a relaxed Li3MoPb crystal (PBEsol).

Computed properties:
Energy of formation ... 1.07 eV/atom
Electronic total energy ... -3.267 eV/atom

Cell: 4.9614 4.9614 4.9614 Å, 90.00 90.00 90.00°
Site moments in Bohr magnetons follow the coordinates.
Sites, in units of the cell vectors:
Pb (0.0000, 0.0000, 0.0000)  -0.13
Mo (0.5000, 0.5000, 0.5000)  3.93
Li (0.0000, 0.5000, 0.0000)  0.00
Li (0.0000, 0.0000, 0.5000)  0.00
Li (0.5000, 0.0000, 0.0000)  0.00

---

Entry from Alexandria: a relaxed CsCaY2Sc crystal (PBEsol).

Computed properties:
Energy of formation ... 1.09 eV/atom
Electronic total energy ... -3.577 eV/atom

Cell: 5.5608 5.5608 5.5796 Å, 90.00 90.00 90.00°
Sites, in units of the cell vectors:
Cs (0.0000, 0.0000, 0.0000)
Y (0.0000, 0.5000, 0.0000)
Y (0.5000, 0.0000, 0.0000)
Ca (0.0000, 0.0000, 0.5000)
Sc (0.5000, 0.5000, 0.5000)

---

Entry from Alexandria: a relaxed Ba2CaN2 crystal (PBEsol).

Computed properties:
E_form (uncorrected) ... -0.56 eV/atom
Electronic total energy ... -5.259 eV/atom

Cell: 3.7688 3.7688 9.9498 Å, 90.00 90.00 120.00°
Sites, in units of the cell vectors:
Ca (0.0000, 0.0000, 0.5000)
Ba (0.3333, 0.6667, 0.7861)
Ba (0.6667, 0.3333, 0.2139)
N (0.3333, 0.6667, 0.3480)
N (0.6667, 0.3333, 0.6520)

---

Entry from Alexandria: a relaxed MnCuSi2 crystal (PBEsol).

Computed properties:
E_form (uncorrected) ... -0.10 eV/atom
Electronic total energy ... -6.499 eV/atom

Cell: 2.7216 4.1093 4.5927 Å, 100.51 90.00 109.34°
Site moments in Bohr magnetons follow the coordinates.
Sites, in units of the cell vectors:
Cu (0.0000, 0.0000, 0.5000)  0.03
Mn (0.5000, 0.0000, 0.0000)  1.38
Si (0.7566, 0.5131, 0.7727)  -0.02
Si (0.2434, 0.4869, 0.2273)  -0.02

---

Entry from Alexandria: a relaxed ScNi2Pt crystal (PBEsol).

Computed properties:
Energy of formation ... 0.01 eV/atom
Electronic total energy ... -6.461 eV/atom

Cell: 2.7641 2.7641 8.4919 Å, 80.63 80.63 60.00°
Sites, in units of the cell vectors:
Ni (0.2514, 0.2514, 0.2459)
Ni (0.7486, 0.7486, 0.7541)
Pt (0.5000, 0.5000, 0.5000)
Sc (0.0000, 0.0000, 0.0000)

---

Entry from Alexandria: a relaxed ZrSCl6O crystal (PBEsol).

Computed properties:
E_form (uncorrected) ... -1.26 eV/atom
Electronic total energy ... -4.683 eV/atom

Cell: 6.8706 7.0325 24.0910 Å, 90.00 90.00 116.48°
Sites, in units of the cell vectors:
S (0.1031, 0.6560, 0.6293)
S (0.6031, 0.6560, 0.8707)
S (0.8969, 0.3440, 0.3707)
S (0.3969, 0.3440, 0.1293)
O (0.2318, 0.1743, 0.0952)
O (0.7318, 0.1743, 0.4048)
O (0.7682, 0.8257, 0.9048)
O (0.2682, 0.8257, 0.5952)
Zr (0.9883, 0.8443, 0.0700)
Zr (0.0117, 0.1557, 0.9300)
Zr (0.5117, 0.1557, 0.5700)
Zr (0.4883, 0.8443, 0.4300)
Cl (0.2541, 0.6613, 0.7036)
Cl (0.7289, 0.5194, 0.0328)
Cl (0.7642, 0.2782, 0.8984)
Cl (0.8017, 0.0473, 0.0225)
Cl (0.2289, 0.5194, 0.4672)
Cl (0.6983, 0.9527, 0.5225)
Cl (0.7992, 0.8320, 0.1527)
Cl (0.7358, 0.7218, 0.3984)
Cl (0.7459, 0.3387, 0.2964)
Cl (0.6032, 0.2259, 0.1573)
Cl (0.3968, 0.7741, 0.8427)
Cl (0.2008, 0.1680, 0.8473)
Cl (0.3017, 0.0473, 0.4775)
Cl (0.1032, 0.2259, 0.3427)
Cl (0.2711, 0.4806, 0.9672)
Cl (0.1983, 0.9527, 0.9775)
Cl (0.7711, 0.4806, 0.5328)
Cl (0.2642, 0.2782, 0.6016)
Cl (0.2358, 0.7218, 0.1016)
Cl (0.7008, 0.1680, 0.6527)
Cl (0.2992, 0.8320, 0.3473)
Cl (0.8968, 0.7741, 0.6573)
Cl (0.2459, 0.3387, 0.2036)
Cl (0.7541, 0.6613, 0.7964)

---

Entry from Alexandria: a relaxed YBeCu2 crystal (PBEsol).

Computed properties:
Energy of formation ... 0.25 eV/atom
Electronic total energy ... -4.623 eV/atom

Cell: 3.7122 4.1168 4.1168 Å, 90.00 90.00 90.00°
Sites, in units of the cell vectors:
Be (0.5000, 0.0000, 0.0000)
Cu (0.0000, 0.0000, 0.5000)
Cu (0.0000, 0.5000, 0.0000)
Y (0.5000, 0.5000, 0.5000)

---

Entry from Alexandria: a relaxed ScAlNi crystal (PBEsol).

Computed properties:
Energy of formation ... -0.60 eV/atom
Electronic total energy ... -6.216 eV/atom

Cell: 5.0568 5.0568 8.1262 Å, 90.00 90.00 118.99°
Sites, in units of the cell vectors:
Sc (0.6667, 0.3333, 0.2075)
Sc (0.3322, 0.6678, 0.3269)
Sc (0.3322, 0.6678, 0.6731)
Sc (0.6667, 0.3333, 0.7925)
Al (0.0071, 0.9929, 0.2632)
Al (0.0071, 0.9929, 0.7368)
Al (0.1645, 0.3464, 0.0000)
Al (0.6536, 0.8355, 0.0000)
Ni (0.1645, 0.8355, 0.0000)
Ni (0.8280, 0.6545, 0.5000)
Ni (0.3455, 0.1720, 0.5000)
Ni (0.8320, 0.1680, 0.5000)

---

Entry from Alexandria: a relaxed BaLaBe crystal (PBEsol).

Computed properties:
Energy of formation ... 0.52 eV/atom
Electronic total energy ... -3.314 eV/atom

Cell: 3.7945 3.7945 7.9350 Å, 90.00 90.00 120.00°
Sites, in units of the cell vectors:
Be (0.6667, 0.3333, 0.6503)
Ba (0.0000, 0.0000, 0.9439)
La (0.3333, 0.6667, 0.4058)